No. 1
DFT (PBE) results for CaCrMo2 after structural relaxation.

Output
* distance to the lowest polymorph of the same formula: 1.33 eV/f.u.

Lattice parameters (Å, degrees): 6.3990 6.3990 6.3990 90.00 90.00 90.00
Fractional positions:
Ca1 0.0000 0.0000 0.0000
Ca2 0.0000 0.5000 0.5000
Ca3 0.5000 0.0000 0.5000
Ca4 0.5000 0.5000 0.0000
Cr1 0.0000 0.0000 0.5000
Cr2 0.0000 0.5000 0.0000
Cr3 0.5000 0.0000 0.0000
Cr4 0.5000 0.5000 0.5000
Mo1 0.2500 0.2500 0.2500
Mo2 0.2500 0.2500 0.7500
Mo3 0.2500 0.7500 0.2500
Mo4 0.2500 0.7500 0.7500
Mo5 0.7500 0.2500 0.2500
Mo6 0.7500 0.2500 0.7500
Mo7 0.7500 0.7500 0.2500
Mo8 0.7500 0.7500 0.7500

No. 2
DFT (PBE) results for U2Tl3CoSe6 after structural relaxation.

Output
* formation energy without anion corrections: -64.1 kJ per mole of atoms

Lattice parameters (Å, degrees): 6.8814 6.8814 8.2787 98.02 98.02 120.00
Fractional positions:
U1 0.1652 0.8348 0.0000
U2 0.8348 0.1652 0.0000
Tl1 0.0000 0.0000 0.5000
Tl2 0.3264 0.6736 0.5000
Tl3 0.6736 0.3264 0.5000
Co1 0.5000 0.5000 0.0000
Se1 0.1206 0.4356 0.8048
Se2 0.2510 0.2510 0.2019
Se3 0.4356 0.1206 0.8048
Se4 0.5644 0.8794 0.1952
Se5 0.7490 0.7490 0.7981
Se6 0.8794 0.5644 0.1952

No. 3
DFT (PBE) results for Ce2PuCo9 after structural relaxation.

Output
* total DFT energy (no corrections): -7.667 eV per atom

Lattice parameters (Å, degrees): 8.7025 8.7025 8.7025 32.71 32.71 32.71
Fractional positions:
Ce1 0.1394 0.1394 0.1394
Ce2 0.8606 0.8606 0.8606
Pu1 0.0000 0.0000 0.0000
Co1 0.0817 0.5791 0.5791
Co2 0.3331 0.3331 0.3331
Co3 0.4209 0.4209 0.9183
Co4 0.4209 0.9183 0.4209
Co5 0.5000 0.5000 0.5000
Co6 0.5791 0.0817 0.5791
Co7 0.5791 0.5791 0.0817
Co8 0.6669 0.6669 0.6669
Co9 0.9183 0.4209 0.4209

No. 4
DFT (PBE) results for MnCdSb after structural relaxation.

Output
* distance to the lowest polymorph of the same formula: 0.00 eV/f.u.
* formation energy without anion corrections: 12.2 kJ per mole of atoms

Lattice parameters (Å, degrees): 6.5104 6.5104 6.5104 90.00 90.00 90.00
Fractional positions:
Mn1 0.0000 0.0000 0.0000
Mn2 0.0000 0.5000 0.5000
Mn3 0.5000 0.0000 0.5000
Mn4 0.5000 0.5000 0.0000
Cd1 0.2500 0.2500 0.2500
Cd2 0.2500 0.7500 0.7500
Cd3 0.7500 0.2500 0.7500
Cd4 0.7500 0.7500 0.2500
Sb1 0.2500 0.2500 0.7500
Sb2 0.2500 0.7500 0.2500
Sb3 0.7500 0.2500 0.2500
Sb4 0.7500 0.7500 0.7500

Number 1: N(E_F) 1.480 states/eV/atom. Number 2: N(E_F) 1.813 states/eV/atom. Number 3: N(E_F) 1.917 states/eV/atom. Number 4: N(E_F) 0.760 states/eV/atom.